No. 1
Compound: ZrSc2Ni
Source: Alexandria
Functional: PBE
Structure: relaxed

Cell lengths 5.588, 5.588, 5.588 Å; angles 137.57, 137.57, 61.56 degrees
Positions (direct):
Ni 0.750 0.250 0.500
Sc 0.000 0.000 0.000
Sc 0.250 0.750 0.500
Zr 0.500 0.500 0.000

Computed properties:
Offset from the most stable computed form: 1.14 eV/f.u.
Formation energy from the elements: 0.036 eV/atom


No. 2
Compound: TbTmGa2
Source: Alexandria
Functional: PBE
Structure: relaxed

Cell lengths 3.557, 3.557, 7.108 Å; angles 90.00, 90.00, 90.00 degrees
Positions (direct):
Tm 0.500 0.500 0.000
Tb 0.500 0.500 0.500
Ga 0.000 0.000 0.757
Ga 0.000 0.000 0.243

Computed properties:
Formation energy from the elements: -0.581 eV/atom


No. 3
Compound: SiMoBr2
Source: Alexandria
Functional: PBE
Structure: relaxed

Cell lengths 4.620, 4.620, 7.870 Å; angles 73.55, 73.55, 42.77 degrees
Site moments in Bohr magnetons follow the coordinates.
Positions (direct):
Br 0.019 0.019 0.100  0.01
Br 0.866 0.866 0.650  0.01
Mo 0.452 0.452 0.375  0.10
Si 0.164 0.164 0.375  0.00

Computed properties:
Offset from the most stable computed form: 0.05 eV/f.u.


No. 4
Compound: FeSb2OsI
Source: Alexandria
Functional: PBE
Structure: relaxed

Cell lengths 5.049, 5.049, 5.753 Å; angles 90.00, 90.00, 90.00 degrees
Site moments in Bohr magnetons follow the coordinates.
Positions (direct):
I 0.000 0.000 0.500  0.03
Sb 0.000 0.500 0.000  -0.05
Sb 0.500 0.000 0.000  -0.05
Os 0.000 0.000 0.000  -0.09
Fe 0.500 0.500 0.500  3.28

Computed properties:
Offset from the most stable computed form: 0.00 eV/f.u.


Number 4 is which compound?
FeSb2OsI


Repeat the second record exactly.
Compound: TbTmGa2
Source: Alexandria
Functional: PBE
Structure: relaxed

Cell lengths 3.557, 3.557, 7.108 Å; angles 90.00, 90.00, 90.00 degrees
Positions (direct):
Tm 0.500 0.500 0.000
Tb 0.500 0.500 0.500
Ga 0.000 0.000 0.757
Ga 0.000 0.000 0.243

Computed properties:
Formation energy from the elements: -0.581 eV/atom